(1)
A plane-wave DFT calculation with PBE was carried out for crystalline Mg6MoW at its relaxed geometry.

a b c (Å): 4.9162 5.6723 10.8733
angles (deg): 90.00 90.00 90.00
Closest atoms and distances in Å follow each position.
Space group Amm2 (No. 38)
Unique sites:
1 Mg 0.0000 0.0000 0.0000  8 Mg 2.84-3.08, 2 W 2.90
2 Mg 0.0000 0.0000 0.5000  8 Mg 2.84-3.08, 2 Mo 2.90
3 Mg 0.0000 0.2503 0.2692  6 Mg 2.83-3.01, 2 W 3.00, 2 Mo 3.00
4 Mg 0.5000 0.2499 0.1090  8 Mg 2.83-3.08, 2 W 3.06-3.08, 2 Mo 3.06-3.07
5 Mo 0.5000 0.0000 0.3592  2 W 2.84, 10 Mg 2.90-3.07
6 W 0.5000 0.0000 0.8580  2 Mo 2.84, 10 Mg 2.90-3.08

Values from the calculation:
- Magnetization: 0.0 μB/f.u.
- Energy above the lowest structure with this stoichiometry: 109.2 meV/atom
- Energy of formation from the pure elements: 8.9 kcal/mol of atoms


(2)
A plane-wave DFT calculation with PBE was carried out for crystalline PtRhBr2 at its relaxed geometry.

a b c (Å): 4.1322 5.1972 8.2346
angles (deg): 90.00 90.00 90.00
Closest atoms and distances in Å follow each position.
Space group Cmm2 (No. 35)
Unique sites:
1 Pt 0.0000 0.0000 0.0000  2 Rh 2.53, 2 Br 2.68
2 Rh 0.0000 0.5000 0.8224  2 Pt 2.53, 2 Br 2.66
3 Br 0.0000 0.0000 0.6196  2 Rh 2.66
4 Br 0.0000 0.5000 0.2078  2 Pt 2.68

Values from the calculation:
- Magnetization: 0.4 μB/f.u.
- Energy above the lowest structure with this stoichiometry: 367.6 meV/atom
- E_form (uncorrected): 0.334 eV per atom


(3)
A plane-wave DFT calculation with PBE was carried out for crystalline LiMgBi2 at its relaxed geometry.

a b c (Å): 3.6836 3.6836 26.8564
angles (deg): 90.00 90.00 120.00
Closest atoms and distances in Å follow each position.
Space group R-3m (No. 166, hexagonal axes)
Unique sites:
1 Li 0.0000 0.0000 0.0000  6 Bi 3.08
2 Mg 0.0000 0.0000 0.5000  6 Bi 3.09
3 Bi 0.0000 0.0000 0.2504  3 Li 3.08, 3 Mg 3.09

Values from the calculation:
- Magnetization: 0.0 μB/f.u.
- Energy of formation from the pure elements: -5.1 kcal/mol of atoms


(4)
A plane-wave DFT calculation with PBE was carried out for crystalline KNa2ZnSi at its relaxed geometry.

a b c (Å): 5.7453 5.7453 4.8266
angles (deg): 90.00 90.00 90.00
Closest atoms and distances in Å follow each position.
Space group P4/mmm (No. 123)
Unique sites:
1 K 0.0000 0.0000 0.0000  8 Na 3.75, 4 Zn 4.06
2 Na 0.0000 0.5000 0.5000  2 Si 2.87
3 Zn 0.5000 0.5000 0.0000  2 Si 2.41
4 Si 0.5000 0.5000 0.5000  2 Zn 2.41

Values from the calculation:
- Magnetization: 0.0 μB/f.u.
- Energy above the lowest structure with this stoichiometry: 0.0 meV/atom
- E_form (uncorrected): 0.120 eV per atom